No. 1
CaMgRh2 | PBE | relaxed

Unit cell a=6.5945 b=6.5945 c=6.5945 alpha=90.00 beta=90.00 gamma=90.00
Closest atoms and distances in Å follow each position.
Space group F-43m (No. 216)
Inequivalent atoms, fractional coordinates:
Ca 0.0000 0.0000 0.0000 x4  4 Mg 2.86, 4 Rh 2.86
Mg 0.2500 0.2500 0.7500 x4  4 Ca 2.86, 4 Rh 2.86
Rh 0.0000 0.0000 0.5000 x4  4 Rh 2.86, 4 Mg 2.86
Rh 0.2500 0.2500 0.2500 x4  4 Ca 2.86, 4 Rh 2.86

Summary:
Formation energy from the elements ... -10 kJ/mol of atoms
Total magnetic moment ... 0.178 μB per atom


No. 2
YNiAs2Se | PBE | relaxed

Unit cell a=5.4110 b=5.4110 c=5.3524 alpha=90.00 beta=90.00 gamma=90.00
Closest atoms and distances in Å follow each position.
Space group P4/mmm (No. 123)
Inequivalent atoms, fractional coordinates:
Y 0.0000 0.0000 0.0000 x1  2 Se 2.68, 4 As 2.71
Ni 0.5000 0.5000 0.5000 x1  8 As 3.81, 4 Se 3.83
As 0.0000 0.5000 0.0000 x2  2 Y 2.71
Se 0.0000 0.0000 0.5000 x1  2 Y 2.68

Summary:
Offset from the most stable computed form ... 1084 meV/atom
Formation energy (no corrections) ... 0.7379 eV per atom
Total magnetic moment ... 0.184 μB per atom


No. 3
LaZn2Cu | PBE | relaxed

Unit cell a=4.6509 b=4.6509 c=17.2911 alpha=90.00 beta=90.00 gamma=90.00
Closest atoms and distances in Å follow each position.
Space group I-42d (No. 122)
Inequivalent atoms, fractional coordinates:
La 0.0000 0.0000 0.0000 x4  8 Zn 3.23-3.54, 4 Cu 3.29
Zn 0.0488 0.2500 0.6250 x8  2 Zn 2.37, 2 Cu 2.46
Cu 0.0000 0.0000 0.5000 x4  4 Zn 2.46

Summary:
Formation energy from the elements ... -4 kJ/mol of atoms
Total magnetic moment ... 0.000 μB per atom